#P
Computed, not measured: HgBiCl3 after structural relaxation at the PBE-GGA level of DFT. Values from VASP.

```
&SYSTEM
  ibrav = 0, nat = 10, ntyp = 3
/
ATOMIC_SPECIES
Cl 35.45 Cl.upf
Bi 208.98 Bi.upf
Hg 200.59 Hg.upf
ATOMIC_POSITIONS crystal
Cl 0.624 0.882 0.236
Cl 0.118 0.376 0.764
Cl 0.118 0.860 0.764
Cl 0.140 0.882 0.236
Cl 0.292 0.292 0.416
Cl 0.708 0.708 0.584
Bi 0.000 0.000 0.000
Bi 0.250 0.750 0.500
Hg 0.577 0.077 0.845
Hg 0.923 0.423 0.155
CELL_PARAMETERS angstrom
6.106 0.000 0.000
0.000 6.106 0.000
3.053 3.053 9.035
```

Properties
- total magnetic moment (μB per cell) = 0.0

***

#Q
Computed, not measured: HgBiCl3 after structural relaxation at the PBE-GGA level of DFT. Values from VASP.

```
&SYSTEM
  ibrav = 0, nat = 10, ntyp = 3
/
ATOMIC_SPECIES
Bi 208.98 Bi.upf
Hg 200.59 Hg.upf
Cl 35.45 Cl.upf
ATOMIC_POSITIONS crystal
Bi 0.039 0.469 0.767
Bi 0.634 0.866 0.793
Hg 0.340 0.043 0.116
Hg 0.332 0.292 0.445
Cl 0.274 0.518 0.989
Cl 0.914 0.760 0.531
Cl 0.923 0.100 0.956
Cl 0.758 0.574 0.029
Cl 0.398 0.817 0.571
Cl 0.749 0.235 0.603
CELL_PARAMETERS angstrom
7.142 0.025 0.213
-1.775 6.741 -0.012
2.030 0.923 7.086
```

Properties
- total magnetic moment (μB per cell) = 0.0

***

#R
Computed, not measured: HgBiCl3 after structural relaxation at the PBE-GGA level of DFT. Values from VASP.

```
&SYSTEM
  ibrav = 0, nat = 5, ntyp = 3
/
ATOMIC_SPECIES
Cl 35.45 Cl.upf
Bi 208.98 Bi.upf
Hg 200.59 Hg.upf
ATOMIC_POSITIONS crystal
Cl 0.000 0.000 0.709
Cl 0.500 0.000 0.441
Cl 0.000 0.500 0.441
Bi 0.500 0.500 0.588
Hg 0.000 0.000 0.085
CELL_PARAMETERS angstrom
-3.799 2.184 0.274
-1.980 -3.153 -2.327
-2.288 -5.085 8.835
```

Properties
- total magnetic moment (μB per cell) = 0.0

***

Of them, #Q has the highest stability.